The following is a GGA-PBE calculation of Pm7Y3Tl after structural relaxation, from the Alexandria database.

Output
Energy of formation (kcal/mol of atoms): 3.01
Symmetry: P3m1, No. 156
E_tot (eV/atom): -4.87

POSCAR file:
```
Pm7Y3Tl
1.0
8.639 0.000 0.000
0.000 7.093 0.000
0.000 -3.546 6.143
Pm Y Tl
7 3 1
Direct
0.120 0.169 0.831
0.120 0.169 0.338
0.111 0.667 0.333
0.447 0.831 0.169
0.447 0.339 0.169
0.447 0.831 0.661
0.120 0.662 0.831
0.781 0.500 0.500
0.781 0.500 0.001
0.781 0.999 0.500
0.461 0.333 0.667
```

---

The following is a GGA-PBE calculation of Ho8Al2Zn after structural relaxation, from the Alexandria database.

Output
Energy of formation (kcal/mol of atoms): -4.00
Symmetry: C2/m, No. 12
E_tot (eV/atom): -4.30

POSCAR file:
```
Ho8Al2Zn
1.0
-0.571 2.502 4.364
4.742 -3.789 2.792
4.895 5.757 -5.597
Ho Al Zn
8 2 1
Direct
0.406 0.539 0.811
0.656 0.965 0.312
0.795 0.703 0.591
0.979 0.229 0.957
0.205 0.297 0.409
0.344 0.035 0.688
0.594 0.461 0.189
0.021 0.771 0.043
0.812 0.260 0.623
0.188 0.740 0.377
0.500 0.000 0.000
```

---

The following is a GGA-PBE calculation of RbTiMo2Pt after structural relaxation, from the Alexandria database.

Output
Energy of formation (kcal/mol of atoms): 62.26
Symmetry: P4/mmm, No. 123
E_tot (eV/atom): -4.61

POSCAR file:
```
RbTiMo2Pt
1.0
-1.637 4.326 -0.064
-3.022 -1.191 -3.163
-3.035 -1.099 3.313
Mo Rb Pt Ti
2 1 1 1
Direct
0.000 0.000 0.500
0.500 0.000 0.000
0.000 0.000 0.000
0.500 0.500 0.500
0.000 0.500 0.000
```

---

The following is a GGA-PBE calculation of Mn2FeTc after structural relaxation, from the Alexandria database.

Output
Energy of formation (kcal/mol of atoms): 2.61
Symmetry: Immm, No. 71
E_tot (eV/atom): -9.18

POSCAR file:
```
Mn2FeTc
1.0
-4.778 -0.237 -0.045
-1.892 -4.264 -1.063
2.873 2.323 3.040
Fe Mn Tc
1 2 1
Direct
0.750 0.250 0.500
0.996 0.996 0.000
0.504 0.504 0.000
0.250 0.750 0.500
```